# PBE BAs3Rh, relaxed
# - energy (eV/atom) = -4.8764
# - density of states at the Fermi level (states/eV/cell) = 2.8
# - size of the total moment (Bohr magnetons per cell) = 0.000
# - formation enthalpy at 0 K (eV per formula unit) = 3.60
data_BAs3Rh
_chemical_formula_sum 'B1 As3 Rh1'
_space_group_name_H-M_alt 'P m -3 m'
_space_group_IT_number 221
_space_group_name_Hall '-P 4 2 3'
_cell_length_a 4.2943
_cell_length_b 4.2943
_cell_length_c 4.2943
_cell_angle_alpha 90.00
_cell_angle_beta 90.00
_cell_angle_gamma 90.00
loop_
_atom_site_label
_atom_site_type_symbol
_atom_site_fract_x
_atom_site_fract_y
_atom_site_fract_z
B1 B 0.0000 0.0000 0.0000
As1 As 0.0000 0.0000 0.5000
Rh1 Rh 0.5000 0.5000 0.5000